Here is a relaxed MgRe2 crystal from Alexandria. Energies are from PBE-GGA.

a = 9.8529 Å, b = 9.8529 Å, c = 9.8529 Å
α = 153.83°, β = 153.83°, γ = 37.35°
Fractional coordinates of all 12 atoms:
1 Re 0.7522 0.7522 0.0000
2 Re 0.2478 0.2478 0.0000
3 Re 0.0022 0.5022 0.5000
4 Re 0.4978 0.9978 0.5000
5 Re 0.5793 0.5793 0.0000
6 Re 0.4207 0.4207 0.0000
7 Re 0.8293 0.3293 0.5000
8 Re 0.6707 0.1707 0.5000
9 Mg 0.9165 0.9165 0.0000
10 Mg 0.0835 0.0835 0.0000
11 Mg 0.1665 0.6665 0.5000
12 Mg 0.3335 0.8335 0.5000

Values from the calculation:
Magnetic moment (μB per atom): 0.000
Offset from the most stable computed form (eV per formula unit): 0.764
Volume (Å³ per cell): 185.8
Calculated formation energy (meV per atom): 372.6
DOS(E_F) (states/eV per cell): 13.79
Space-group type: I4_1/amd (141)